Here is Zn2GePt8 after structural relaxation from Alexandria via LeMat-Bulk. Energies are from PBE-GGA.

a b c (Å): 7.3555 7.3555 5.9251
angles (deg): 101.34 101.34 32.79
Last column: nearest neighbours and their distance in Å.
Fractional coordinates of all 11 atoms:
Zn (0.2207, 0.2207, 0.1570)  10 Pt 2.57-2.87
Zn (0.7793, 0.7793, 0.8430)  10 Pt 2.57-2.87
Ge (0.5000, 0.5000, 0.5000)  8 Pt 2.53-2.71
Pt (0.0397, 0.0397, 0.2414)  1 Zn 2.70, 2 Ge 2.71, 9 Pt 2.83-2.97
Pt (0.1567, 0.1567, 0.7191)  3 Zn 2.57-2.71, 6 Pt 2.73-2.83
Pt (0.3301, 0.3301, 0.5779)  1 Ge 2.53, 3 Zn 2.65-2.78, 6 Pt 2.74-2.83
Pt (0.4082, 0.4082, 0.0538)  1 Ge 2.70, 8 Pt 2.73-2.90, 3 Zn 2.84-2.87
Pt (0.5918, 0.5918, 0.9462)  1 Ge 2.70, 8 Pt 2.73-2.90, 3 Zn 2.84-2.87
Pt (0.6699, 0.6699, 0.4221)  1 Ge 2.53, 3 Zn 2.65-2.78, 6 Pt 2.74-2.83
Pt (0.8433, 0.8433, 0.2809)  3 Zn 2.57-2.71, 6 Pt 2.73-2.83
Pt (0.9603, 0.9603, 0.7586)  1 Zn 2.70, 2 Ge 2.71, 9 Pt 2.83-2.97

Results
Its total energy is -5.325 eV per atom. As for the distance to the lowest polymorph of the same formula: 0.000 eV per atom. The value obtained for the density of states at the Fermi level is 7.8 states/eV/f.u. The value obtained for the formation energy is -0.280 eV per atom. The total moment comes out at 0.000 μB per atom.